(1)
Entry from Alexandria via LeMat-Bulk: a geometry-optimized BaAlB structure (PBE).

Computed properties:
As for the space-group type: No. 38. Its total energy is -4.078 eV per atom.

Cell: 3.2511 6.4736 7.4164 Å, 64.13 90.00 90.00°
With the nearest neighbours (Å) after each atom.
Fractional positions:
Ba 0.6238 0.3150 0.7806  3 B 2.99-3.08, 2 Ba 3.25
Al 0.1238 0.5346 0.2880  3 B 2.22-2.44
B 0.6238 0.8222 0.0815  2 B 1.71
B 0.1238 0.9062 0.0813  2 B 1.71
Ba 0.6238 0.0151 0.3817  3 B 2.99-3.08, 2 Ba 3.25
Al 0.1238 0.7409 0.8748  3 B 2.22-2.44


(2)
Entry from Alexandria via LeMat-Bulk: a geometry-optimized BaAlB3 structure (PBE).

Computed properties:
As for the space-group type: No. 221. Its total energy is -3.980 eV per atom.

Cell: 4.4145 4.4145 4.4145 Å, 90.00 90.00 90.00°
With the nearest neighbours (Å) after each atom.
Fractional positions:
B 0.5000 0.0000 0.0000  2 Al 2.21
Ba 0.5000 0.5000 0.5000  12 B 3.12
B 0.0000 0.5000 0.0000  2 Al 2.21
Al 0.0000 0.0000 0.0000  6 B 2.21
B 0.0000 0.0000 0.5000  2 Al 2.21


(3)
Entry from Alexandria via LeMat-Bulk: a geometry-optimized BaAl3B structure (PBE).

Computed properties:
As for the space-group type: No. 221. Its total energy is -3.553 eV per atom.

Cell: 4.7237 4.7237 4.7237 Å, 90.00 90.00 90.00°
With the nearest neighbours (Å) after each atom.
Fractional positions:
Al 0.0000 0.0000 0.5000  2 B 2.36
B 0.0000 0.0000 0.0000  6 Al 2.36
Ba 0.5000 0.5000 0.5000  12 Al 3.34
Al 0.5000 0.0000 0.0000  2 B 2.36
Al 0.0000 0.5000 0.0000  2 B 2.36


(4)
Entry from Alexandria via LeMat-Bulk: a geometry-optimized BaAl3B structure (PBE).

Computed properties:
As for the space-group type: No. 221. Its total energy is -1.615 eV per atom.

Cell: 6.0680 6.0680 6.0680 Å, 90.00 90.00 90.00°
With the nearest neighbours (Å) after each atom.
Fractional positions:
Al 0.0000 0.5000 0.0000  2 Ba 3.03
Ba 0.0000 0.0000 0.0000  6 Al 3.03
Al 0.5000 0.0000 0.0000  2 Ba 3.03
B 0.5000 0.5000 0.5000  12 Al 4.29
Al 0.0000 0.0000 0.5000  2 Ba 3.03


(5)
Entry from Alexandria via LeMat-Bulk: a geometry-optimized Ba4NaAl2B8Cl3O18 structure (PBE).

Computed properties:
As for the space-group type: No. 102. Its uncorrected formation energy is -2.682 eV/atom. Its total energy is -7.257 eV per atom.

Cell: 6.9325 12.2633 12.2633 Å, 90.00 90.00 90.00°
With the nearest neighbours (Å) after each atom.
Fractional positions:
O 0.9692 0.7980 0.7980  1 B 1.44
B 0.4173 0.6822 0.6822  4 O 1.44-1.54
O 0.1252 0.4262 0.7383  1 B 1.36
O 0.8694 0.1998 0.9389  2 B 1.39-1.54
O 0.5461 0.2524 0.8888  2 B 1.38-1.50
B 0.1831 0.4680 0.2690  3 O 1.36-1.39
Cl 0.4538 0.0000 0.5000  4 Ba 3.16-3.29, 2 O 3.39, 2 Cl 3.47
O 0.8694 0.0611 0.8002  2 B 1.39-1.54
O 0.6198 0.2995 0.2995  1 B 1.44
O 0.3694 0.4389 0.3002  2 B 1.39-1.54
O 0.5461 0.1112 0.7476  2 B 1.38-1.50
O 0.7925 0.2506 0.7494  2 B 1.47-1.48
Al 0.2138 0.2956 0.7044  4 O 1.76-1.77
O 0.8694 0.8002 0.0611  2 B 1.39-1.54
O 0.6252 0.2383 0.0738  1 B 1.36
Cl 0.2757 0.0000 0.0000  1 Na 2.65
Na 0.3938 0.5000 0.5000  4 O 2.57, 1 Cl 2.65
B 0.9173 0.8178 0.1822  4 O 1.44-1.54
Ba 0.7216 0.4810 0.7790  6 O 2.78-3.00
Cl 0.4538 0.5000 0.0000  4 Ba 3.16-3.29, 2 O 3.39, 2 Cl 3.47
O 0.3694 0.5611 0.6998  2 B 1.39-1.54
O 0.7925 0.7494 0.2506  2 B 1.47-1.48
O 0.2925 0.7506 0.7506  2 B 1.47-1.48
O 0.2925 0.2494 0.2494  2 B 1.47-1.48
Al 0.2138 0.7044 0.2956  4 O 1.76-1.77
B 0.6831 0.2310 0.9680  3 O 1.36-1.39
O 0.9692 0.2020 0.2020  1 B 1.44
Cl 0.9538 0.0000 0.5000  4 Ba 3.16-3.29, 2 O 3.39, 2 Cl 3.47
B 0.5855 0.2293 0.7707  4 O 1.44-1.50
O 0.6252 0.0738 0.2383  1 B 1.36
O 0.6252 0.7617 0.9262  1 B 1.36
O 0.5461 0.8888 0.2524  2 B 1.38-1.50
Ba 0.2216 0.9810 0.7210  6 O 2.78-3.00
O 0.4692 0.7020 0.2980  1 B 1.44
B 0.1831 0.7310 0.5320  3 O 1.36-1.39
B 0.0855 0.2707 0.2707  4 O 1.44-1.50
O 0.1252 0.2617 0.5738  1 B 1.36
O 0.3694 0.3002 0.4389  2 B 1.39-1.54
B 0.6831 0.9680 0.2310  3 O 1.36-1.39
Al 0.7138 0.2044 0.2044  4 O 1.76-1.77
O 0.8694 0.9389 0.1998  2 B 1.39-1.54
O 0.6198 0.7005 0.7005  1 B 1.44
B 0.6831 0.0320 0.7690  3 O 1.36-1.39
O 0.0461 0.2476 0.3888  2 B 1.38-1.50
Ba 0.2216 0.7210 0.9810  6 O 2.78-3.00
O 0.3694 0.6998 0.5611  2 B 1.39-1.54
Cl 0.9538 0.5000 0.0000  4 Ba 3.16-3.29, 2 O 3.39, 2 Cl 3.47
B 0.6831 0.7690 0.0320  3 O 1.36-1.39
B 0.1831 0.5320 0.7310  3 O 1.36-1.39
Ba 0.7216 0.2210 0.5190  6 O 2.78-3.00
B 0.9173 0.1822 0.8178  4 O 1.44-1.54
O 0.6252 0.9262 0.7617  1 B 1.36
O 0.4692 0.2980 0.7020  1 B 1.44
Cl 0.7757 0.5000 0.5000  1 Na 2.65
Ba 0.2216 0.0190 0.2790  6 O 2.78-3.00
Al 0.7138 0.7956 0.7956  4 O 1.76-1.77
O 0.0461 0.6112 0.7524  2 B 1.38-1.50
Na 0.8938 0.0000 0.0000  4 O 2.57, 1 Cl 2.65
O 0.0461 0.3888 0.2476  2 B 1.38-1.50
B 0.5855 0.7707 0.2293  4 O 1.44-1.50
Ba 0.2216 0.2790 0.0190  6 O 2.78-3.00
O 0.1198 0.7995 0.2005  1 B 1.44
O 0.1198 0.2005 0.7995  1 B 1.44
O 0.1252 0.7383 0.4262  1 B 1.36
B 0.0855 0.7293 0.7293  4 O 1.44-1.50
Ba 0.7216 0.5190 0.2210  6 O 2.78-3.00
O 0.1252 0.5738 0.2617  1 B 1.36
B 0.1831 0.2690 0.4680  3 O 1.36-1.39
O 0.0461 0.7524 0.6112  2 B 1.38-1.50
O 0.5461 0.7476 0.1112  2 B 1.38-1.50
Ba 0.7216 0.7790 0.4810  6 O 2.78-3.00
B 0.4173 0.3178 0.3178  4 O 1.44-1.54


(6)
Entry from Alexandria via LeMat-Bulk: a geometry-optimized K3Ba3Li2Al4B6O20F structure (PBE).

Computed properties:
As for the space-group type: No. 190. Its uncorrected formation energy is -2.703 eV/atom. Its total energy is -7.035 eV per atom.

Cell: 8.8460 8.8460 16.7297 Å, 90.00 90.00 120.00°
With the nearest neighbours (Å) after each atom.
Fractional positions:
O 0.4156 0.5325 0.1400  1 B 1.41
B 0.9940 0.6499 0.6410  3 O 1.35-1.41
Ba 0.9880 0.3046 0.2500  6 O 2.66-2.83
O 0.6667 0.3333 0.5001  2 Al 1.73
O 0.9358 0.7646 0.8546  1 B 1.35
K 0.0000 0.2945 0.0000  1 F 2.60
B 0.3441 0.3501 0.3590  3 O 1.35-1.41
O 0.8832 0.4675 0.6400  1 B 1.41
K 0.7055 0.7055 0.5000  1 F 2.60
O 0.3333 0.6667 0.0001  2 Al 1.73
O 0.7646 0.9358 0.3546  1 B 1.35
Ba 0.0120 0.3167 0.7500  6 O 2.66-2.83
O 0.7105 0.1742 0.1427  1 B 1.41
B 0.0060 0.6559 0.1410  3 O 1.35-1.41
O 0.9358 0.7646 0.6454  1 B 1.35
O 0.1168 0.5844 0.3600  1 B 1.41
O 0.7646 0.9358 0.1454  1 B 1.35
K 0.7055 0.7055 0.0000  1 F 2.60
B 0.3441 0.3501 0.1410  3 O 1.35-1.41
O 0.8832 0.4675 0.8600  1 B 1.41
B 0.6559 0.0060 0.8590  3 O 1.35-1.41
Al 0.6667 0.3333 0.3969  4 O 1.73-1.77
O 0.6667 0.3333 0.9999  2 Al 1.73
O 0.8258 0.5364 0.1427  1 B 1.41
B 0.6559 0.0060 0.6410  3 O 1.35-1.41
O 0.1742 0.7105 0.6427  1 B 1.41
O 0.0642 0.8288 0.1454  1 B 1.35
B 0.3501 0.3441 0.8590  3 O 1.35-1.41
Al 0.6667 0.3333 0.6036  4 O 1.73-1.78
O 0.4636 0.2895 0.3573  1 B 1.41
Li 0.0000 0.0000 0.3879  1 F 1.88, 3 O 1.95
O 0.8258 0.5364 0.3573  1 B 1.41
O 0.1712 0.2354 0.3546  1 B 1.35
Al 0.6667 0.3333 0.8964  4 O 1.73-1.78
O 0.4636 0.2895 0.1427  1 B 1.41
O 0.4675 0.8832 0.3600  1 B 1.41
F 0.0000 0.0000 0.0000  2 Li 1.88
Ba 0.6954 0.6833 0.2500  6 O 2.66-2.83
K 0.2945 0.0000 0.0000  1 F 2.60
K 0.2945 0.0000 0.5000  1 F 2.60
O 0.8288 0.0642 0.6454  1 B 1.35
O 0.0642 0.8288 0.3546  1 B 1.35
O 0.3333 0.6667 0.4999  2 Al 1.73
O 0.5844 0.1168 0.8600  1 B 1.41
O 0.5364 0.8258 0.6427  1 B 1.41
O 0.7105 0.1742 0.3573  1 B 1.41
O 0.8288 0.0642 0.8546  1 B 1.35
O 0.4156 0.5325 0.3600  1 B 1.41
O 0.2895 0.4636 0.6427  1 B 1.41
Al 0.3333 0.6667 0.8969  4 O 1.73-1.77
O 0.2354 0.1712 0.8546  1 B 1.35
Al 0.3333 0.6667 0.1036  4 O 1.73-1.78
Li 0.0000 0.0000 0.8879  1 F 1.88, 3 O 1.95
O 0.1712 0.2354 0.1454  1 B 1.35
B 0.0060 0.6559 0.3590  3 O 1.35-1.41
F 0.0000 0.0000 0.5000  2 Li 1.88
Al 0.3333 0.6667 0.3964  4 O 1.73-1.78
O 0.1742 0.7105 0.8573  1 B 1.41
O 0.4675 0.8832 0.1400  1 B 1.41
O 0.2354 0.1712 0.6454  1 B 1.35
B 0.3501 0.3441 0.6410  3 O 1.35-1.41
Li 0.0000 0.0000 0.6121  1 F 1.88, 3 O 1.95
Ba 0.3167 0.0120 0.2500  6 O 2.66-2.83
Li 0.0000 0.0000 0.1121  1 F 1.88, 3 O 1.95
O 0.5364 0.8258 0.8573  1 B 1.41
Al 0.3333 0.6667 0.6031  4 O 1.73-1.77
Ba 0.3046 0.9880 0.7500  6 O 2.66-2.83
Al 0.6667 0.3333 0.1031  4 O 1.73-1.77
B 0.9940 0.6499 0.8590  3 O 1.35-1.41
O 0.5844 0.1168 0.6400  1 B 1.41
B 0.6499 0.9940 0.1410  3 O 1.35-1.41
O 0.5325 0.4156 0.6400  1 B 1.41
Ba 0.6833 0.6954 0.7500  6 O 2.66-2.83
O 0.5325 0.4156 0.8600  1 B 1.41
O 0.1168 0.5844 0.1400  1 B 1.41
O 0.2895 0.4636 0.8573  1 B 1.41
B 0.6499 0.9940 0.3590  3 O 1.35-1.41
K 0.0000 0.2945 0.5000  1 F 2.60


| no. | calculated density (g/cm³) | magnetic moment (μB/f.u.) |
| --- | --- | --- |
| 1 | 4.1 | 0.00 |
| 2 | 3.8 | 0.00 |
| 3 | 3.6 | 0.00 |
| 4 | 1.7 | 0.65 |
| 5 | 3.5 | 0.00 |
| 6 | 3.1 | 0.00 |